TlIn2IO8: relaxed, PBE-GGA.

Cell: 4.8554 6.8456 4.8655 Å, 90.00 92.37 90.00°
Last column: nearest neighbours and their distance in Å.
Fractional coordinates of all 12 atoms:
Tl: 0.0000 0.0000 0.0000  2 O 2.09
In: 0.5000 0.2524 0.5000  6 O 2.15-2.23
In: 0.5000 0.7476 0.5000  6 O 2.15-2.23
I: 0.0000 0.5000 0.0000  6 O 1.91-1.94
O: 0.1875 0.2957 0.8178  1 I 1.91
O: 0.1875 0.7043 0.8178  1 I 1.91
O: 0.2844 0.5000 0.2906  1 I 1.94
O: 0.3086 0.0000 0.3121  1 Tl 2.09, 2 In 2.15
O: 0.6914 0.0000 0.6879  1 Tl 2.09, 2 In 2.15
O: 0.7156 0.5000 0.7094  1 I 1.94
O: 0.8125 0.2957 0.1822  1 I 1.91
O: 0.8125 0.7043 0.1822  1 I 1.91

Space group: No. 10
Spin magnetization: 0.000 μB/f.u.
ΔE_f (raw): -0.857 eV per atom



Tl3InI2O9: relaxed, PBE-GGA.

Cell: 5.9491 5.9491 7.2728 Å, 90.00 90.00 120.00°
Last column: nearest neighbours and their distance in Å.
Fractional coordinates of all 15 atoms:
Tl: 0.0000 0.0000 0.0000  12 O 2.97-2.98
Tl: 0.3333 0.6667 0.6784  12 O 2.90-3.04
Tl: 0.6667 0.3333 0.3216  12 O 2.90-3.04
In: 0.0000 0.0000 0.5000  6 O 2.24
I: 0.3333 0.6667 0.1760  6 O 1.93-2.14
I: 0.6667 0.3333 0.8240  6 O 1.93-2.14
O: 0.0000 0.5000 0.0000  2 I 2.14
O: 0.1777 0.3553 0.3234  1 I 1.93
O: 0.1777 0.8223 0.3234  1 I 1.93
O: 0.3553 0.1777 0.6766  1 I 1.93
O: 0.5000 0.0000 0.0000  2 I 2.14
O: 0.5000 0.5000 0.0000  2 I 2.14
O: 0.6447 0.8223 0.3234  1 I 1.93
O: 0.8223 0.1777 0.6766  1 I 1.93
O: 0.8223 0.6447 0.6766  1 I 1.93

Space group: No. 164
Spin magnetization: 0.000 μB/f.u.
ΔE_f (raw): -0.512 eV per atom



TmIn2IO8: relaxed, PBE-GGA.

Cell: 4.9208 4.9208 6.6542 Å, 90.00 90.00 91.21°
Last column: nearest neighbours and their distance in Å.
Fractional coordinates of all 12 atoms:
Tm: 0.0000 0.0000 0.0000  6 O 2.12-2.30
In: 0.5000 0.5000 0.2480  6 O 2.11-2.25
In: 0.5000 0.5000 0.7520  6 O 2.11-2.25
I: 0.0000 0.0000 0.5000  6 O 1.91-1.95
O: 0.1815 0.8185 0.2875  1 I 1.91
O: 0.1815 0.8185 0.7125  1 I 1.91
O: 0.2832 0.2832 0.5000  1 I 1.95
O: 0.3081 0.3081 0.0000  2 In 2.11, 1 Tm 2.12
O: 0.6919 0.6919 0.0000  2 In 2.11, 1 Tm 2.12
O: 0.7168 0.7168 0.5000  1 I 1.95
O: 0.8185 0.1815 0.2875  1 I 1.91
O: 0.8185 0.1815 0.7125  1 I 1.91

Space group: No. 65
Spin magnetization: 0.000 μB/f.u.
ΔE_f (raw): -1.473 eV per atom



Which value of ΔE_f (raw) does entry 3 give? -1.473 eV per atom